Here is an optimized crystal structure of PaNbNiGe2 from the Alexandria database. Energies are from GGA-PBE.

* total DFT energy (no corrections): -7.277 eV per atom
* space group: I-4m2, No. 119
* theoretical density: 9.6 g/cm³

The structure in extended XYZ format:
```
5
Lattice="3.9649 0.0000 0.0000 0.0000 3.9649 0.0000 -1.9825 -1.9825 5.7904" Properties=species:S:1:pos:R:3 pbc="T T T"
Ni 0.0000 1.9825 2.8952
Ge 1.9825 1.9825 1.2822
Ge 0.0000 0.0000 4.5081
Nb 1.9825 0.0000 2.8952
Pa 0.0000 0.0000 0.0000
```

---

Here is an optimized crystal structure of NbNiGeRu from the Alexandria database. Energies are from GGA-PBE.

* total DFT energy (no corrections): -7.732 eV per atom
* space group: I-4m2, No. 119
* theoretical density: 9.4 g/cm³

The structure in extended XYZ format:
```
4
Lattice="-1.8626 3.1116 -1.4420 -1.1420 -2.1102 -3.0783 -1.6195 -1.5114 4.1116" Properties=species:S:1:pos:R:3 pbc="T T T"
Ge -2.4924 1.0503 0.2046
Nb -2.1320 -1.5606 -0.6136
Ni -3.1218 -1.0107 1.8515
Ru -1.1420 -2.1101 -3.0780
```

---

Here is an optimized crystal structure of Nb2NiSnGe from the Alexandria database. Energies are from GGA-PBE.

* total DFT energy (no corrections): -5.506 eV per atom
* space group: P4/mmm, No. 123
* theoretical density: 6.2 g/cm³

The structure in extended XYZ format:
```
5
Lattice="-4.4972 2.3247 0.7109 0.4935 -0.4034 4.4413 2.3651 4.5298 0.1487" Properties=species:S:1:pos:R:3 pbc="T T T"
Sn 0.0000 0.0000 0.0000
Nb -2.2486 1.1624 0.3554
Nb 1.1825 2.2649 0.0743
Ge -0.8193 3.2255 2.6504
Ni 0.2467 -0.2017 2.2206
```